(1)
## PmNiHg2 (GGA-PBE)

Data for PmNiHg2 after structural relaxation.

Cell lengths 4.098, 5.453, 8.236 Å; angles 90.00, 90.00, 112.07 degrees
Fractional positions:
Hg1 0.357 0.714 0.948
Hg2 0.643 0.286 0.448
Hg3 0.357 0.714 0.552
Ni1 0.773 0.546 0.750
Ni2 0.227 0.454 0.250
Hg4 0.643 0.286 0.052
Pm1 0.067 0.133 0.750
Pm2 0.933 0.867 0.250

Output
The total magnetic moment comes out at 0.00 Bohr magnetons per cell. For the energy above the most stable polymorph in this dataset, the calculation gives 0.00 eV per formula unit. Its crystal system is orthorhombic. As for the space-group type: Cmcm (63).

---

(2)
## Pm12NiHg6 (GGA-PBE)

Data for Pm12NiHg6 after structural relaxation.

Cell lengths 8.397, 8.397, 8.397 Å; angles 94.24, 94.24, 94.24 degrees
Fractional positions:
Pm1 0.459 0.800 0.574
Pm2 0.313 0.969 0.087
Hg1 0.143 0.740 0.350
Pm3 0.087 0.313 0.969
Pm4 0.913 0.687 0.031
Pm5 0.969 0.087 0.313
Hg2 0.857 0.260 0.650
Pm6 0.574 0.459 0.800
Pm7 0.426 0.541 0.200
Hg3 0.650 0.857 0.260
Pm8 0.031 0.913 0.687
Pm9 0.200 0.426 0.541
Pm10 0.687 0.031 0.913
Hg4 0.740 0.350 0.143
Ni1 0.000 0.000 0.000
Hg5 0.260 0.650 0.857
Pm11 0.800 0.574 0.459
Pm12 0.541 0.200 0.426
Hg6 0.350 0.143 0.740

Output
The total magnetic moment comes out at 0.00 Bohr magnetons per cell. Its crystal system is trigonal. As for the space-group type: R-3 (148). For the total energy, the calculation gives -3.63 eV per atom.

---

(3)
## Pm3Ni8Hg (GGA-PBE)

Data for Pm3Ni8Hg after structural relaxation.

Cell lengths 5.086, 5.086, 8.873 Å; angles 73.34, 73.34, 60.00 degrees
Fractional positions:
Ni1 0.688 0.688 0.937
Ni2 0.436 0.436 0.187
Pm1 0.377 0.377 0.869
Ni3 0.439 0.937 0.687
Pm2 0.505 0.505 0.484
Ni4 0.188 0.188 0.437
Ni5 0.937 0.937 0.687
Ni6 0.436 0.941 0.187
Ni7 0.941 0.436 0.187
Pm3 0.994 0.994 0.019
Ni8 0.937 0.439 0.687
Hg1 0.872 0.872 0.383

Output
The total magnetic moment comes out at 0.00 Bohr magnetons per cell. Its crystal system is trigonal. As for the space-group type: R3m (160). For the total energy, the calculation gives -5.39 eV per atom.

---

(4)
## Pm2Ni2Hg (GGA-PBE)

Data for Pm2Ni2Hg after structural relaxation.

Cell lengths 3.849, 3.976, 7.358 Å; angles 105.67, 90.00, 90.00 degrees
Fractional positions:
Pm1 0.500 0.635 0.270
Ni1 0.000 0.202 0.404
Ni2 0.000 0.798 0.596
Hg1 0.000 0.000 0.000
Pm2 0.500 0.365 0.730

Output
The total magnetic moment comes out at 0.00 Bohr magnetons per cell. For the energy above the most stable polymorph in this dataset, the calculation gives 0.00 eV per formula unit. Its crystal system is orthorhombic. As for the space-group type: Cmmm (65).